# 1
Computed, not measured: a geometry-optimized YAlCl structure at the PBEsol level of DFT.

abc: 6.925 6.925 6.925
angles: 90.00 90.00 90.00
Space group F-43m (No. 216)
One atom of each set of equivalent atoms:
Y  0.000  0.000  0.000
Al  0.250  0.250  0.750
Cl  0.000  0.000  0.500

E_tot in eV for the cell shown: -49.75
Raw formation energy in meV/atom: 161
D(E_F) in states/eV/cell: 14.73

# 2
Computed, not measured: a geometry-optimized Al2ZnCl structure at the PBEsol level of DFT.

abc: 3.951 3.951 4.917
angles: 90.00 90.00 90.00
Space group P4/mmm (No. 123)
One atom of each set of equivalent atoms:
Al  0.000  0.500  0.000
Zn  0.000  0.000  0.500
Cl  0.500  0.500  0.500

E_tot in eV for the cell shown: -11.01
Raw formation energy in meV/atom: 190
D(E_F) in states/eV/cell: 1.65

# 3
Computed, not measured: a geometry-optimized ZrAlCl2 structure at the PBEsol level of DFT.

abc: 4.857 3.268 9.520
angles: 90.00 90.00 90.00
Space group Amm2 (No. 38)
One atom of each set of equivalent atoms:
Zr  0.000  0.000  0.000
Al  0.500  0.000  0.609
Cl  0.000  0.000  0.289
Cl  0.500  0.000  0.871

E_tot in eV for the cell shown: -40.97
Raw formation energy in meV/atom: -822
Polymorph energy (0 for the lowest one) in meV per atom: 0
D(E_F) in states/eV/cell: 4.00

# 4
Computed, not measured: a geometry-optimized ZrAlCl2 structure at the PBEsol level of DFT.

abc: 3.262 4.464 5.283
angles: 90.00 91.63 90.00
Space group P2/m (No. 10)
One atom of each set of equivalent atoms:
Zr  0.000  0.000  0.000
Al  0.500  0.000  0.500
Cl  0.192  0.500  0.244

E_tot in eV for the cell shown: -19.91
Raw formation energy in meV/atom: -678
Polymorph energy (0 for the lowest one) in meV per atom: 144
D(E_F) in states/eV/cell: 2.52

# 5
Computed, not measured: a geometry-optimized ZrAlCl2 structure at the PBEsol level of DFT.

abc: 3.095 3.095 8.771
angles: 90.00 90.00 90.00
Space group P4/mmm (No. 123)
One atom of each set of equivalent atoms:
Zr  0.000  0.000  0.000
Al  0.000  0.000  0.500
Cl  0.500  0.500  0.175

E_tot in eV for the cell shown: -20.09
Raw formation energy in meV/atom: -724
Polymorph energy (0 for the lowest one) in meV per atom: 97
D(E_F) in states/eV/cell: 2.21

# 6
Computed, not measured: a geometry-optimized AlCo structure at the PBEsol level of DFT.

abc: 2.984 2.984 5.431
angles: 90.00 90.00 90.00
Space group P4/nmm (No. 129, origin choice 2)
One atom of each set of equivalent atoms:
Al  0.250  0.250  0.157
Co  0.250  0.250  0.635

Calculated formation energy in meV per atom: -243
E_tot in eV for the cell shown: -24.63
D(E_F) in states/eV/cell: 3.76

# 7
Computed, not measured: a geometry-optimized Al2Co structure at the PBEsol level of DFT.

abc: 10.772 10.772 10.772
angles: 90.00 90.00 90.00
Space group Fd-3m (No. 227, origin choice 2)
One atom of each set of equivalent atoms:
Al  0.000  0.000  0.000
Al  0.074  0.375  0.875
Co  0.031  0.031  0.219

Calculated formation energy in meV per atom: -472
E_tot in eV for the cell shown: -554.77
D(E_F) in states/eV/cell: 56.18

# 8
Computed, not measured: a geometry-optimized Al5Co structure at the PBEsol level of DFT.

abc: 3.819 11.718 3.851
angles: 90.00 90.00 90.00
Space group Cmmm (No. 65)
One atom of each set of equivalent atoms:
Al  0.000  0.000  0.000
Al  0.000  0.155  0.500
Al  0.000  0.341  0.000
Co  0.000  0.500  0.500

Calculated formation energy in meV per atom: -110
E_tot in eV for the cell shown: -57.71
D(E_F) in states/eV/cell: 6.50

Please write out number 8 again, unchanged.
Computed, not measured: a geometry-optimized Al5Co structure at the PBEsol level of DFT.

abc: 3.819 11.718 3.851
angles: 90.00 90.00 90.00
Space group Cmmm (No. 65)
One atom of each set of equivalent atoms:
Al  0.000  0.000  0.000
Al  0.000  0.155  0.500
Al  0.000  0.341  0.000
Co  0.000  0.500  0.500

Calculated formation energy in meV per atom: -110
E_tot in eV for the cell shown: -57.71
D(E_F) in states/eV/cell: 6.50